# 1
Entry from Alexandria: an optimized crystal structure of Y2InRh (GGA-PBE).

The structure in POSCAR format:
```
Y2InRh
1.0
3.9357 0.0000 0.0000
0.0000 3.9352 0.0000
0.0000 0.0000 6.7610
In Rh Y
1 1 2
Cartesian
0.0000 0.0000 3.2465
1.9679 1.9676 5.6644
0.0000 0.0000 6.2716
1.9679 1.9676 1.7199
```

# 2
Entry from Alexandria: an optimized crystal structure of Y2InRh (GGA-PBE).

The structure in POSCAR format:
```
Y2InRh
1.0
5.7795 0.0104 0.0000
2.5067 5.2076 0.0000
-4.1431 -2.6090 3.0709
In Rh Y
1 1 2
Cartesian
4.1431 2.6090 0.0000
2.8897 0.0052 1.5355
0.0000 0.0000 0.0000
1.2534 2.6038 1.5355
```

# 3
Entry from Alexandria: an optimized crystal structure of Y2InRh (GGA-PBE).

The structure in POSCAR format:
```
Y2InRh
1.0
-3.1434 0.1119 1.6091
-0.4080 -3.3548 -0.5637
3.0361 -4.9233 6.2732
Rh Y In
1 2 1
Cartesian
0.3993 -6.1526 5.0867
2.9180 -4.8702 6.0389
1.4321 -4.1921 3.0892
-0.9147 -2.0136 2.2319
```

# 4
Entry from Alexandria: an optimized crystal structure of YIn9Rh2 (GGA-PBE).

The structure in POSCAR format:
```
YIn9Rh2
1.0
-1.3919 7.0205 -0.8277
-5.0808 3.5360 7.1777
6.7043 5.4806 3.8538
Rh In Y
4 18 2
Cartesian
0.6957 9.3951 7.9632
2.5401 11.1374 3.9605
-0.8121 8.3971 2.0336
-3.3524 10.1651 5.6224
1.8338 8.4431 3.0375
-1.4448 13.9966 8.6180
-3.5875 5.0941 4.9797
1.3847 14.4635 7.8199
-1.0894 3.6013 3.7963
2.5578 8.9224 5.8849
-1.7254 8.2156 7.0929
0.0000 0.0000 0.0000
-2.4494 7.7363 4.2456
4.6383 6.8112 5.7112
-1.3854 11.3473 7.2788
0.8572 6.1724 1.0986
-1.9724 5.7055 1.8967
3.9143 6.3320 2.8638
-0.2322 9.7737 4.8949
1.4442 11.8142 6.4807
-2.8635 5.5733 7.8270
1.7402 4.0682 2.9983
0.4638 6.2634 5.3088
-0.6960 3.5103 -0.4139
```

# 5
Entry from Alexandria: an optimized crystal structure of YInRh (GGA-PBE).

The structure in POSCAR format:
```
YInRh
1.0
4.0354 0.0000 0.0000
0.0000 7.4867 0.0456
0.0000 0.1014 12.8718
Y Rh In
6 6 6
Cartesian
1.0089 7.1475 9.2269
1.0089 2.6584 11.8313
3.0266 4.9298 1.0860
3.0266 4.1023 4.8923
1.0089 3.4858 8.0251
3.0266 0.4407 3.6905
3.0266 5.6647 7.5810
1.0089 5.6637 3.2500
1.0089 5.6873 11.8598
3.0266 1.9008 1.0575
3.0266 1.9245 9.6673
1.0089 1.9234 5.3364
3.0266 0.1154 11.7361
3.0266 1.1097 7.0247
1.0089 7.4727 1.1813
3.0266 4.6805 10.2454
1.0089 2.9077 2.6720
1.0089 6.4784 5.8927
```

# 6
Entry from Alexandria: an optimized crystal structure of YInRh (GGA-PBE).

The structure in POSCAR format:
```
YInRh
1.0
-3.5446 2.0096 2.2866
-0.6554 -0.8899 4.5398
0.8515 3.3179 3.1778
Y Rh In
1 1 1
Cartesian
0.0000 0.0000 0.0000
-2.5114 3.3282 7.5032
-1.6743 2.2188 5.0021
```

# 7
Entry from Alexandria: an optimized crystal structure of YZnIn2Rh (GGA-PBE).

The structure in POSCAR format:
```
YZnIn2Rh
1.0
-1.4785 -4.8704 -0.7307
2.4199 -1.3894 4.3644
-4.2994 0.9043 2.6717
Zn Y In Rh
1 1 2 1
Cartesian
-1.6790 -2.6777 3.1527
1.2099 -0.6947 2.1822
-0.7392 -2.4352 -0.3654
-2.1497 0.4521 1.3359
0.0000 0.0000 0.0000
```

# 8
Entry from Alexandria: an optimized crystal structure of Y2Zn2InRh5 (GGA-PBE).

The structure in POSCAR format:
```
Y2Zn2InRh5
1.0
-1.8359 -2.1128 -2.4103
-5.1254 -3.8388 7.2689
-6.6627 6.9573 -1.0238
Y Rh Zn In
4 10 4 2
Cartesian
-4.6184 -1.3756 4.7235
-8.7248 1.5225 5.3109
-3.0633 1.5960 0.9342
-7.1697 4.4941 1.5216
-11.1848 2.3722 3.6094
-7.0640 -3.1915 5.3477
-6.5600 4.1972 -1.5129
-7.4083 -0.7731 3.4900
-2.4392 -1.3665 0.2253
-4.2493 2.4222 -1.7170
-6.2157 1.7788 0.3448
-8.5441 1.6736 2.2105
-3.4807 -2.9758 2.4293
-5.0799 -0.6679 1.6243
-2.7520 -0.5897 2.6131
-7.0049 -0.7442 5.9878
-4.7832 3.8627 0.2573
-9.0360 3.7082 3.6320
0.0000 0.0000 0.0000
-5.8940 1.5593 3.1226
```

# 9
Entry from Alexandria: an optimized crystal structure of YbIn5Rh (GGA-PBE).

The structure in POSCAR format:
```
YbIn5Rh
1.0
-2.1680 -0.7334 -4.0659
0.4069 -4.6073 0.6140
-6.6529 -0.1121 3.5676
Yb In Rh
1 5 1
Cartesian
0.0000 0.0000 0.0000
-0.8806 -2.6703 -1.7259
-1.7947 -2.3373 1.3785
-5.7388 -0.4451 0.4632
-4.4513 -2.3821 2.8032
-3.0821 -0.4003 -0.9615
-3.3264 -0.0560 1.7838
```

# 10
Entry from Alexandria: an optimized crystal structure of YbIn4Rh (GGA-PBE).

The structure in POSCAR format:
```
YbIn4Rh
1.0
4.2704 0.0000 0.0000
0.0000 7.4876 0.0000
0.0000 0.0000 8.7590
Rh In Yb
2 8 2
Cartesian
0.0000 1.4672 6.5693
0.0000 6.0205 2.1898
0.0000 0.0000 0.0000
0.0000 0.0000 4.3795
2.1352 5.1262 0.5543
2.1352 5.1262 3.8252
2.1352 2.3615 4.9338
2.1352 6.9704 6.5693
2.1352 2.3615 8.2047
2.1352 0.5172 2.1898
0.0000 4.4966 6.5693
0.0000 2.9910 2.1898
```

# 11
Entry from Alexandria: an optimized crystal structure of ZnIn2Rh (GGA-PBE).

The structure in POSCAR format:
```
ZnIn2Rh
1.0
3.5453 0.0000 0.0000
0.0000 3.5427 0.0000
0.0000 0.0000 5.7968
In Rh Zn
2 1 1
Cartesian
0.0000 0.0000 0.0402
0.0000 0.0000 2.8581
1.7726 1.7713 1.4492
1.7726 1.7713 4.3476
```

# 12
Entry from Alexandria: an optimized crystal structure of Zn2InRh2 (GGA-PBE).

The structure in POSCAR format:
```
Zn2InRh2
1.0
7.1024 0.0000 0.0000
0.0000 7.1024 0.0000
0.0000 0.0000 3.1781
Zn In Rh
4 2 4
Cartesian
1.0420 4.5932 1.5890
6.0604 2.5092 1.5890
4.5932 6.0604 1.5890
2.5092 1.0420 1.5890
0.0000 0.0000 0.0000
3.5512 3.5512 0.0000
6.0488 4.6048 0.0000
4.6048 1.0536 0.0000
1.0536 2.4976 0.0000
2.4976 6.0488 0.0000
```

- ΔE to the lowest computed polymorph (eV per atom) = 0.003

Ordered formation energy from the elements results: -0.322; -0.426; -0.673; -0.129; -0.730; -0.606; -0.175; -0.602; -0.404; -0.415; -0.159; -0.297; unit eV per atom.
Ordered calculated total energy results: -6.08; -6.18; -6.43; -3.95; -6.25; -6.12; -4.29; -6.10; -3.63; -3.72; -3.68; -4.30; unit eV/atom.